No. 1
The following is a PBE calculation of crystalline Pr2PuAl6 at its relaxed geometry, from Alexandria.

Computed properties:
- Energy of formation: -37 kJ/mol of atoms

abc: 3.6140 8.0394 8.0394
angles: 60.00 90.00 90.00
Each line ends with the local moment (μB).
Sites, in units of the cell vectors:
Pr 0.0000 0.3333 0.3333  0.01
Pr 0.0000 0.6667 0.6667  0.01
Al 0.5000 0.6698 0.3302  0.00
Al 0.4998 0.6698 0.0000  0.00
Al 0.5000 0.3302 0.6698  0.00
Al 0.4998 0.0000 0.6698  0.00
Al 0.5002 0.3302 0.0000  0.00
Al 0.5002 0.0000 0.3302  0.00
Pu 0.0000 0.0000 0.0000  5.25


No. 2
The following is a PBE calculation of crystalline PrPuAl2 at its relaxed geometry, from Alexandria.

Computed properties:
- ΔE to the lowest computed polymorph: 0.106 eV per formula unit
- Energy of formation: -16 kJ/mol of atoms

abc: 5.1990 5.1990 5.1990
angles: 60.00 60.00 60.00
Each line ends with the local moment (μB).
Sites, in units of the cell vectors:
Al 0.7500 0.7500 0.7500  -0.02
Al 0.2500 0.2500 0.2500  -0.02
Pu 0.0000 0.0000 0.0000  5.26
Pr 0.5000 0.5000 0.5000  0.02


No. 3
The following is a PBE calculation of crystalline PrPu3Al8 at its relaxed geometry, from Alexandria.

Computed properties:
- ΔE to the lowest computed polymorph: 0.110 eV per formula unit
- Energy of formation: -34 kJ/mol of atoms

abc: 5.6354 5.6354 8.8315
angles: 90.00 90.00 120.00
Each line ends with the local moment (μB).
Sites, in units of the cell vectors:
Pu 0.6667 0.3333 0.0904  5.01
Pu 0.0000 0.0000 0.9329  5.31
Pu 0.6667 0.3333 0.3995  -5.09
Al 0.5064 0.4936 0.7532  -0.01
Al 0.3333 0.6667 0.0005  -0.02
Al 0.3333 0.6667 0.4966  0.01
Al 0.9873 0.4936 0.7532  -0.01
Al 0.6780 0.8390 0.2485  -0.01
Al 0.1610 0.3220 0.2485  -0.01
Al 0.5064 0.0127 0.7532  -0.01
Al 0.1610 0.8390 0.2485  -0.01
Pr 0.0000 0.0000 0.5750  -0.03


No. 4
The following is a PBE calculation of crystalline PrPuAl4 at its relaxed geometry, from Alexandria.

Computed properties:
- Energy of formation: -37 kJ/mol of atoms

abc: 5.6280 5.6280 5.6280
angles: 60.00 60.00 60.00
Each line ends with the local moment (μB).
Sites, in units of the cell vectors:
Pu 0.0000 0.0000 0.0000  5.43
Al 0.6257 0.6257 0.1228  0.00
Al 0.6257 0.1228 0.6257  0.00
Al 0.6257 0.6257 0.6257  0.00
Al 0.1228 0.6257 0.6257  0.00
Pr 0.2500 0.2500 0.2500  0.05


No. 5
The following is a PBE calculation of crystalline Pr2PuAl at its relaxed geometry, from Alexandria.

Computed properties:
- ΔE to the lowest computed polymorph: 0.041 eV per formula unit
- Energy of formation: -4 kJ/mol of atoms

abc: 3.6758 3.6758 8.7189
angles: 90.00 90.00 90.00
Each line ends with the local moment (μB).
Sites, in units of the cell vectors:
Al 0.5000 0.5000 0.0000  0.00
Pu 0.5000 0.5000 0.5000  5.72
Pr 0.0000 0.0000 0.7807  0.12
Pr 0.0000 0.0000 0.2193  0.12


No. 6
The following is a PBE calculation of crystalline PrPu2Al9 at its relaxed geometry, from Alexandria.

Computed properties:
- Energy of formation: -30 kJ/mol of atoms

abc: 5.5590 5.5590 9.4325
angles: 72.86 72.86 60.00
Each line ends with the local moment (μB).
Sites, in units of the cell vectors:
Al 0.5000 0.5000 0.5000  -0.03
Al 0.3349 0.3349 0.9954  0.00
Al 0.4135 0.9223 0.2507  -0.01
Al 0.4135 0.4135 0.2507  -0.01
Al 0.0777 0.5865 0.7493  -0.01
Al 0.5865 0.5865 0.7493  -0.01
Al 0.6651 0.6651 0.0046  0.00
Al 0.5865 0.0777 0.7493  -0.01
Al 0.9223 0.4135 0.2507  -0.01
Pu 0.1440 0.1440 0.5681  5.34
Pu 0.8560 0.8560 0.4319  5.34
Pr 0.0000 0.0000 0.0000  -0.04


No. 7
The following is a PBE calculation of crystalline Pr2PuAl at its relaxed geometry, from Alexandria.

Computed properties:
- ΔE to the lowest computed polymorph: 1.699 eV per formula unit
- Energy of formation: 36 kJ/mol of atoms

abc: 3.4410 3.4410 12.2303
angles: 81.91 81.91 60.00
Each line ends with the local moment (μB).
Sites, in units of the cell vectors:
Pu 0.0000 0.0000 0.0000  5.51
Pr 0.5869 0.5869 0.2394  -0.06
Pr 0.4131 0.4131 0.7606  -0.06
Al 0.5000 0.5000 0.5000  0.00


No. 8
The following is a PBE calculation of crystalline PrPuAl2 at its relaxed geometry, from Alexandria.

Computed properties:
- ΔE to the lowest computed polymorph: 1.025 eV per formula unit
- Energy of formation: 6 kJ/mol of atoms

abc: 3.4815 3.4815 10.0693
angles: 80.04 80.04 60.00
Each line ends with the local moment (μB).
Sites, in units of the cell vectors:
Al 0.7479 0.7479 0.7563  -0.01
Al 0.2521 0.2521 0.2437  -0.01
Pu 0.0000 0.0000 0.0000  5.42
Pr 0.5000 0.5000 0.5000  -0.07


No. 9
The following is a PBE calculation of crystalline Pr2PuAl2Rh5 at its relaxed geometry, from Alexandria.

Computed properties:
- Energy of formation: -69 kJ/mol of atoms

abc: 3.6062 10.2416 10.2416
angles: 90.00 90.00 90.00
Each line ends with the local moment (μB).
Sites, in units of the cell vectors:
Pu 0.0000 0.5000 0.5000  4.88
Pu 0.0000 0.0000 0.0000  4.88
Rh 0.5000 0.7149 0.4316  -0.05
Rh 0.5000 0.2851 0.5684  -0.05
Rh 0.5000 0.0000 0.5000  0.01
Rh 0.5000 0.5684 0.7149  -0.05
Rh 0.5000 0.0684 0.7851  -0.05
Rh 0.5000 0.9316 0.2149  -0.05
Rh 0.5000 0.2149 0.0684  -0.05
Rh 0.5000 0.4316 0.2851  -0.05
Rh 0.5000 0.5000 0.0000  0.01
Rh 0.5000 0.7851 0.9316  -0.05
Al 0.0000 0.8798 0.3798  0.01
Al 0.0000 0.6202 0.8798  0.01
Al 0.0000 0.1202 0.6202  0.01
Al 0.0000 0.3798 0.1202  0.01
Pr 0.0000 0.8244 0.6756  0.01
Pr 0.0000 0.1756 0.3244  0.01
Pr 0.0000 0.6756 0.1756  0.01
Pr 0.0000 0.3244 0.8244  0.01


No. 10
The following is a PBE calculation of crystalline PrPuAlZn at its relaxed geometry, from Alexandria.

Computed properties:
- Energy of formation: -14 kJ/mol of atoms

abc: 5.2004 5.2004 5.2004
angles: 60.00 60.00 60.00
Each line ends with the local moment (μB).
Sites, in units of the cell vectors:
Pu 0.7500 0.7500 0.7500  5.45
Al 0.5000 0.5000 0.5000  -0.02
Pr 0.2500 0.2500 0.2500  0.14
Zn 0.0000 0.0000 0.0000  0.04


No. 11
The following is a PBE calculation of crystalline Rb2PrAlSe4 at its relaxed geometry, from Alexandria.

Computed properties:
- Formation energy (no corrections): -9.6 eV per formula unit

abc: 8.7928 8.7928 9.0593
angles: 120.99 120.99 90.35
Sites, in units of the cell vectors:
Se 0.7582 0.7407 0.5564
Se 0.8008 0.2415 0.0212
Se 0.2407 0.2582 0.0564
Se 0.7415 0.3007 0.5212
Se 0.2418 0.2593 0.4436
Se 0.7593 0.7418 0.9436
Se 0.1993 0.7585 0.9788
Se 0.2585 0.6993 0.4788
Pr 0.0000 0.5000 0.0000
Pr 0.0000 0.5000 0.5000
Al 0.0000 0.0000 0.0000
Al 0.5000 0.5000 0.5000
Rb 0.0000 0.0000 0.5000
Rb 0.5000 0.0000 0.0000
Rb 0.5000 0.0000 0.5000
Rb 0.5000 0.5000 0.0000


No. 12
The following is a PBE calculation of crystalline Rb4Pr3AlSe8 at its relaxed geometry, from Alexandria.

Computed properties:
- Formation energy (no corrections): -23.7 eV per formula unit

abc: 8.6004 9.4372 8.6012
angles: 117.12 120.00 90.00
Sites, in units of the cell vectors:
Rb 0.0000 0.0000 0.0000
Rb 0.5000 0.0000 0.5000
Rb 0.5000 0.0000 0.0000
Rb 0.0000 0.0000 0.5000
Se 0.2406 0.3092 0.0249
Se 0.7843 0.3092 0.0249
Se 0.2159 0.6909 0.4317
Se 0.7841 0.3091 0.5683
Se 0.7352 0.7056 0.4704
Se 0.2648 0.2944 0.5296
Se 0.2157 0.6908 0.9751
Se 0.7594 0.6908 0.9751
Pr 0.5000 0.5000 0.5000
Pr 0.5000 0.5000 0.0000
Pr 0.0000 0.5000 0.5000
Al 0.0000 0.5000 0.0000